Record 1
Crystalline Ca2ErSi3Pt12 at its relaxed geometry, computed with PBE.

abc: 6.855 6.855 6.855
angles: 83.85 83.85 83.85
Sites, in units of the cell vectors:
Pt: 0.817 0.330 0.817
Ca: 0.380 0.380 0.380
Er: 0.000 0.000 0.000
Pt: 0.635 0.635 0.076
Pt: 0.183 0.183 0.670
Ca: 0.620 0.620 0.620
Pt: 0.924 0.365 0.365
Pt: 0.670 0.183 0.183
Si: 0.000 0.000 0.500
Pt: 0.365 0.365 0.924
Si: 0.000 0.500 0.000
Pt: 0.330 0.817 0.817
Si: 0.500 0.000 0.000
Pt: 0.365 0.924 0.365
Pt: 0.076 0.635 0.635
Pt: 0.635 0.076 0.635
Pt: 0.817 0.817 0.330
Pt: 0.183 0.670 0.183

DOS at the Fermi energy in states/eV per cell: 8.10
Calculated density in Mg/m³: 14.0
ΔE_f (raw) in eV per atom: -0.548

Record 2
Crystalline Ca2ErSn3Pt4 at its relaxed geometry, computed with PBE.

abc: 4.589 4.589 11.155
angles: 90.00 90.00 90.00
Sites, in units of the cell vectors:
Pt: 0.500 0.000 0.642
Sn: 0.500 0.000 0.876
Sn: 0.000 0.000 0.500
Pt: 0.000 0.500 0.358
Er: 0.500 0.500 0.500
Sn: 0.000 0.500 0.124
Pt: 0.500 0.500 0.000
Ca: 0.000 0.500 0.778
Ca: 0.500 0.000 0.222
Pt: 0.000 0.000 0.000

Energy of formation from the pure elements in meV per atom: -852.6
DOS at the Fermi energy in states/eV per cell: 4.69
Calculated density in Mg/m³: 9.8

Record 3
Crystalline CaErZnPt at its relaxed geometry, computed with PBE.

abc: 3.937 4.179 5.986
angles: 90.00 109.20 90.00
Sites, in units of the cell vectors:
Ca: 0.149 0.000 0.298
Er: 0.861 0.500 0.722
Zn: 0.570 0.500 0.139
Pt: 0.421 0.000 0.841

Energy of formation from the pure elements in meV per atom: -746.9
Energy above the lowest structure with this stoichiometry in meV/atom: 0
DOS at the Fermi energy in states/eV per cell: 2.44
Calculated density in Mg/m³: 8.4

Record 4
Crystalline CaErZnPt at its relaxed geometry, computed with PBE.

abc: 4.961 4.961 4.961
angles: 60.00 60.00 60.00
Sites, in units of the cell vectors:
Ca: 0.750 0.750 0.750
Zn: 0.000 0.000 0.000
Er: 0.250 0.250 0.250
Pt: 0.500 0.500 0.500

Energy of formation from the pure elements in meV per atom: -689.8
Energy above the lowest structure with this stoichiometry in meV/atom: 57
DOS at the Fermi energy in states/eV per cell: 2.53
Calculated density in Mg/m³: 9.0

Record 5
Crystalline CaErPu at its relaxed geometry, computed with PBE.

abc: 3.254 5.918 10.684
angles: 90.36 90.00 105.96
Sites, in units of the cell vectors:
Ca: 0.871 0.743 0.590
Er: 0.136 0.271 0.078
Pu: 0.868 0.736 0.234
Pu: 0.132 0.264 0.766
Er: 0.864 0.729 0.922
Ca: 0.129 0.257 0.410

Energy of formation from the pure elements in meV per atom: 380.5
Energy above the lowest structure with this stoichiometry in meV/atom: 165
DOS at the Fermi energy in states/eV per cell: 21.06
Calculated density in Mg/m³: 7.6

Record 6
Crystalline CaErPu at its relaxed geometry, computed with PBE.

abc: 3.502 3.502 8.267
angles: 102.23 102.23 90.00
Sites, in units of the cell vectors:
Er: 0.323 0.323 0.647
Pu: 0.674 0.674 0.349
Ca: 0.002 0.002 0.005

Energy of formation from the pure elements in meV per atom: 215.8
Energy above the lowest structure with this stoichiometry in meV/atom: 0
DOS at the Fermi energy in states/eV per cell: 10.07
Calculated density in Mg/m³: 7.7

Record 7
Crystalline CaEr4PuS8 at its relaxed geometry, computed with PBE.

abc: 8.050 8.050 8.106
angles: 60.23 60.23 60.00
Sites, in units of the cell vectors:
S: 0.752 0.229 0.267
Ca: 0.376 0.376 0.873
S: 0.752 0.752 0.267
S: 0.783 0.244 0.729
Pu: 0.001 0.001 0.998
Er: 0.002 0.002 0.502
S: 0.244 0.244 0.729
S: 0.758 0.758 0.727
S: 0.229 0.752 0.267
S: 0.244 0.783 0.729
Er: 0.624 0.624 0.127
S: 0.240 0.240 0.281
Er: 0.002 0.494 0.502
Er: 0.494 0.002 0.502

DOS at the Fermi energy in states/eV per cell: 16.29
Calculated density in Mg/m³: 5.4
ΔE_f (raw) in eV per atom: -1.933